{
  "formula": "ReRh5",
  "functional": "PBE",
  "state": "relaxed",
  "cell": [[2.730, 0.000, 0.000], [-1.365, 4.637, -1.746], [0.000, -0.708, 7.154]],
  "species": ["Re", "Rh", "Rh", "Rh", "Rh", "Rh"],
  "fractional_positions": [[0.281, 0.562, 0.053], [0.994, 0.989, 0.002], [0.286, 0.571, 0.683], [0.713, 0.425, 0.323], [0.566, 0.132, 0.733], [0.994, 0.988, 0.373]],
  "e_tot_ev_per_atom": -8.20,
  "n_ef_per_ev_atom": 1.0542,
  "formation_enthalpy_0k_ev_per_fu": 0.0,
  "polymorph_energy_ev_per_atom": 0.081,
  "volume_a3_per_cell": 87
}